A geometry-optimized NaCoAsO structure. Source: OQMD via LeMat-Bulk, functional GGA+U.

## Properties
theoretical density: 5.07 g cm⁻³
energy above the most stable polymorph in this dataset: 556.6 meV per atom
VASP energy: -4.023 eV/atom

The structure in CIF format:
```
data_NaCoAsO
_cell_length_a 4.0484
_cell_length_b 4.0484
_cell_length_c 6.9102
_cell_angle_alpha 90.00
_cell_angle_beta 90.00
_cell_angle_gamma 90.00
_space_group_name_H-M_alt 'P 1'
_space_group_IT_number 1
loop_
_space_group_symop_operation_xyz
'x,y,z'
loop_
_atom_site_label
_atom_site_type_symbol
_atom_site_fract_x
_atom_site_fract_y
_atom_site_fract_z
_atom_site_occupancy
Na1 Na 0.2500 0.2500 0.1360 1
Na2 Na 0.7500 0.7500 0.8640 1
Co1 Co 0.2500 0.7500 0.5000 1
Co2 Co 0.7500 0.2500 0.5000 1
As1 As 0.2500 0.2500 0.6882 1
As2 As 0.7500 0.7500 0.3118 1
O1 O 0.2500 0.7500 0.0000 1
O2 O 0.7500 0.2500 0.0000 1
```